# 1
Below is a relaxed structure of La4Nd9Tl11, with properties calculated at the PBE-GGA level.

Lattice parameters (Å, degrees): 16.722 23.762 3.682 90.00 90.00 90.00
Space group Cmmm (No. 65)
One atom of each set of equivalent atoms:
La  0.169  0.082  0.000 x8
Nd  0.000  0.000  0.000 x2
Nd  0.108  0.405  0.000 x8
Nd  0.114  0.225  0.000 x8
Tl  0.000  0.123  0.500 x4
Tl  0.000  0.312  0.500 x4
Tl  0.000  0.500  0.500 x2
Tl  0.206  0.500  0.500 x4
Tl  0.227  0.317  0.500 x8

Values from the calculation:
Its calculated volume is 1462.9 Å³ per cell. For the formation energy, the calculation gives -0.33 eV/atom.



# 2
Below is a relaxed structure of ErMn6Re2, with properties calculated at the PBE-GGA level.

Lattice parameters (Å, degrees): 2.798 6.609 13.337 90.00 90.00 90.00
Space group Immm (No. 71)
One atom of each set of equivalent atoms:
Er  0.000  0.000  0.000 x2
Mn  0.000  0.155  0.500 x4
Mn  0.000  0.318  0.314 x8
Re  0.000  0.500  0.144 x4

Values from the calculation:
Its calculated volume is 246.6 Å³ per cell. For the formation energy, the calculation gives 0.33 eV/atom.



# 3
Below is a relaxed structure of PuBeGeH, with properties calculated at the PBE-GGA level.

Lattice parameters (Å, degrees): 3.9510 3.9510 4.0839 90.00 90.00 120.00
Space group P3m1 (No. 156)
One atom of each set of equivalent atoms:
Pu  0.0000  0.0000  0.0000 x1
Be  0.6667  0.3333  0.5380 x1
Ge  0.3333  0.6667  0.4797 x1
H  0.6667  0.3333  0.9223 x1

Values from the calculation:
The value obtained for the electronic total energy is -6.964 eV/atom. Its calculated volume is 55.2 Å³ per cell.



# 4
Below is a relaxed structure of Ba8GaN2, with properties calculated at the PBE-GGA level.

Lattice parameters (Å, degrees): 16.565 9.725 7.527 90.00 95.09 90.00
Space group C2/m (No. 12)
One atom of each set of equivalent atoms:
Ba  0.104  0.207  0.243 x8
Ba  0.171  0.000  0.790 x4
Ba  0.178  0.500  0.748 x4
Ga  0.000  0.000  0.500 x2
N  0.179  0.000  0.131 x4

Values from the calculation:
The value obtained for the uncorrected formation energy is -0.23 eV/atom. Its calculated volume is 1207.8 Å³ per cell.



# 5
Below is a relaxed structure of Pm5Pr2Bi4, with properties calculated at the PBE-GGA level.

Lattice parameters (Å, degrees): 25.877 3.513 8.407 90.00 92.42 90.00
Space group C2/m (No. 12)
One atom of each set of equivalent atoms:
Pm  0.000  0.000  0.000 x2
Pm  0.153  0.500  0.983 x4
Pm  0.178  0.500  0.492 x4
Pr  0.054  0.500  0.663 x4
Bi  0.071  0.500  0.274 x4
Bi  0.237  0.000  0.221 x4

Values from the calculation:
Its calculated volume is 763.6 Å³ per cell. For the formation energy, the calculation gives -0.31 eV/atom.



# 6
Below is a relaxed structure of YGaTc2C, with properties calculated at the PBE-GGA level.

Lattice parameters (Å, degrees): 3.882 10.895 7.662 90.00 90.00 90.00
Space group Cmcm (No. 63)
One atom of each set of equivalent atoms:
Y  0.000  0.038  0.250 x4
Ga  0.000  0.239  0.750 x4
Tc  0.000  0.328  0.056 x8
C  0.000  0.500  0.000 x4

Values from the calculation:
Its calculated volume is 324.0 Å³ per cell. For the formation energy, the calculation gives -0.32 eV/atom.



# 7
Below is a relaxed structure of PrHo2IrO8, with properties calculated at the PBE-GGA level.

Lattice parameters (Å, degrees): 5.066 6.896 5.071 90.00 90.45 90.00
Space group P2/m (No. 10)
One atom of each set of equivalent atoms:
Pr  0.000  0.000  0.000 x1
Ho  0.500  0.249  0.500 x2
Ir  0.000  0.500  0.000 x1
O  0.189  0.298  0.186 x4
O  0.266  0.500  0.732 x2
O  0.317  0.000  0.681 x2

Values from the calculation:
The value obtained for the uncorrected formation energy is -2.32 eV/atom. Its calculated volume is 177.1 Å³ per cell.



# 8
Below is a relaxed structure of MnPb2W, with properties calculated at the PBE-GGA level.

Lattice parameters (Å, degrees): 3.180 3.180 8.825 90.00 90.00 90.00
Space group P4mm (No. 99)
One atom of each set of equivalent atoms:
Mn  0.000  0.000  0.000 x1
Pb  0.000  0.000  0.617 x1
Pb  0.500  0.500  0.234 x1
W  0.500  0.500  0.869 x1

Values from the calculation:
Its calculated volume is 89.3 Å³ per cell. For the formation energy, the calculation gives 0.43 eV/atom. As for the distance to the lowest polymorph of the same formula: 0.00 eV per formula unit.



# 9
Below is a relaxed structure of BaCrCo, with properties calculated at the PBE-GGA level.

Lattice parameters (Å, degrees): 6.863 6.863 6.863 90.00 90.00 90.00
Space group F-43m (No. 216)
One atom of each set of equivalent atoms:
Ba  0.000  0.000  0.000 x4
Cr  0.000  0.000  0.500 x4
Co  0.250  0.250  0.250 x4

Values from the calculation:
Its calculated volume is 323.3 Å³ per cell. For the formation energy, the calculation gives 1.09 eV/atom. As for the distance to the lowest polymorph of the same formula: 1.29 eV per formula unit.



# 10
Below is a relaxed structure of In2SnCl4, with properties calculated at the PBE-GGA level.

Lattice parameters (Å, degrees): 5.606 5.606 15.669 90.00 90.00 90.00
Space group I4/mmm (No. 139)
One atom of each set of equivalent atoms:
In  0.000  0.000  0.140 x4
Sn  0.000  0.000  0.500 x2
Cl  0.000  0.000  0.320 x4
Cl  0.000  0.500  0.000 x4

Values from the calculation:
The value obtained for the uncorrected formation energy is -0.85 eV/atom. Its calculated volume is 492.5 Å³ per cell. As for the distance to the lowest polymorph of the same formula: 0.25 eV per formula unit.



# 11
Below is a relaxed structure of YMgFe2, with properties calculated at the PBE-GGA level.

Lattice parameters (Å, degrees): 3.562 4.178 10.153 90.00 90.00 90.00
Space group Amm2 (No. 38)
One atom of each set of equivalent atoms:
Y  0.000  0.000  0.000 x2
Mg  0.500  0.000  0.715 x2
Fe  0.000  0.000  0.287 x2
Fe  0.500  0.000  0.421 x2

Values from the calculation:
Its calculated volume is 151.1 Å³ per cell. For the formation energy, the calculation gives 0.15 eV/atom.



# 12
Below is a relaxed structure of Fe2AgAs, with properties calculated at the PBE-GGA level.

Lattice parameters (Å, degrees): 3.041 3.041 6.235 90.00 90.00 90.00
Space group P4/mmm (No. 123)
One atom of each set of equivalent atoms:
Fe  0.000  0.000  0.210 x2
Ag  0.500  0.500  0.500 x1
As  0.500  0.500  0.000 x1

Values from the calculation:
Its calculated volume is 57.7 Å³ per cell. For the formation energy, the calculation gives 0.25 eV/atom.